(1)
Here is a relaxed structure of Na4Tm3MnTe8 from Alexandria via LeMat-Bulk. Energies are from GGA-PBE.

```
Na4Tm3MnTe8
1.0
8.633 0.000 0.000
0.000 9.062 0.295
-4.316 -4.311 6.106
Na Tm Mn Te
4 3 1 8
Cartesian
4.316 0.000 0.000 Na
2.158 -2.155 3.053 Na
0.000 0.000 0.000 Na
-2.158 -2.155 3.053 Na
4.316 4.531 0.148 Tm
2.158 2.376 3.201 Tm
-2.158 2.376 3.201 Tm
0.000 4.531 0.148 Mn
-2.255 2.274 6.247 Te
0.000 4.526 3.058 Te
0.000 0.227 3.208 Te
2.255 2.274 6.247 Te
2.061 2.478 0.154 Te
4.316 4.525 3.194 Te
4.316 0.225 3.343 Te
6.572 2.478 0.154 Te
```

Values from the calculation:
E: -4.369 eV per atom
Space-group type: R-3m

(2)
Here is a relaxed structure of Na3Tm2MnTe6 from Alexandria via LeMat-Bulk. Energies are from GGA-PBE.

```
Na3Tm2MnTe6
1.0
-1.510 -2.479 -6.867
-3.737 -2.678 5.869
-3.428 7.152 -0.488
Na Tm Mn Te
3 2 1 6
Cartesian
-5.071 0.931 3.455 Na
-3.603 1.063 -4.941 Na
-4.337 0.997 -0.743 Na
-2.995 -2.612 1.625 Tm
-2.252 -2.546 -2.623 Tm
0.000 0.000 0.000 Mn
-6.333 1.633 -3.161 Te
-4.744 -2.367 -0.867 Te
-2.342 0.361 1.675 Te
-7.038 1.570 0.872 Te
-3.931 4.361 -0.619 Te
-1.637 0.424 -2.358 Te
```

Values from the calculation:
E: -4.387 eV per atom
Space-group type: C2/m

(3)
Here is a relaxed structure of Na3U2MnTe6 from Alexandria via LeMat-Bulk. Energies are from GGA-PBE.

```
Na3U2MnTe6
1.0
-5.642 -2.250 -4.511
7.158 -1.720 -1.744
-1.090 -5.091 6.019
Na U Mn Te
3 2 1 6
Cartesian
4.429 -4.356 0.793 Na
-4.003 -4.705 -1.029 Na
0.213 -4.530 -0.118 Na
2.885 -1.897 -2.668 U
-1.369 -2.073 -3.587 U
0.000 0.000 0.000 Mn
-1.729 -7.054 -0.575 Te
0.899 -4.165 -3.362 Te
2.155 -2.007 0.339 Te
2.363 -6.884 0.310 Te
-0.473 -4.895 3.126 Te
-1.937 -2.176 -0.546 Te
```

Values from the calculation:
E: -5.235 eV per atom
Space-group type: C2/m

(4)
Here is a relaxed structure of Na2UMnTe4 from Alexandria via LeMat-Bulk. Energies are from GGA-PBE.

```
Na2UMnTe4
1.0
-0.927 -0.277 -4.219
-1.860 -7.209 0.882
-6.472 4.426 1.131
Na U Mn Te
2 1 1 4
Cartesian
-3.699 2.074 -1.544 Na
-4.166 -1.392 1.006 Na
-1.393 -3.743 -1.669 U
0.000 0.000 0.000 Mn
-2.257 -0.817 -1.671 Te
-7.002 -2.244 -0.535 Te
-5.431 1.600 1.088 Te
-2.902 -4.383 0.925 Te
```

Values from the calculation:
E: -5.094 eV per atom
Space-group type: P2/m

Number 2 is which compound?
Na3Tm2MnTe6